## LiZrMo2Pb (GGA-PBEsol)

Data for crystalline LiZrMo2Pb at its relaxed geometry.

ΔH_f (0 K) = 2.11 eV per atom
DOS at the Fermi energy = 5.3 states/eV/cell
size of the total moment = 0.00 μB per formula unit

Cell: 5.033 5.033 5.314 Å, 90.00 90.00 90.00°
Fractional coordinates of all 5 atoms:
Mo  0.500  0.000  0.000
Pb  0.000  0.000  0.000
Li  0.500  0.500  0.500
Zr  0.000  0.000  0.500
Mo  0.000  0.500  0.000



## Li3MoPd (GGA-PBEsol)

Data for crystalline Li3MoPd at its relaxed geometry.

ΔH_f (0 K) = 1.53 eV per atom
DOS at the Fermi energy = 2.5 states/eV/cell
size of the total moment = 4.15 μB per formula unit

Cell: 4.639 4.639 4.639 Å, 90.00 90.00 90.00°
Last column: magnetic moment on the atom in μB.
Fractional coordinates of all 5 atoms:
Mo  0.000  0.000  0.000  3.47
Li  0.000  0.500  0.000  0.04
Li  0.000  0.000  0.500  0.04
Pd  0.500  0.500  0.500  0.16
Li  0.500  0.000  0.000  0.04



## LiMoPt (GGA-PBEsol)

Data for crystalline LiMoPt at its relaxed geometry.

ΔH_f (0 K) = 0.04 eV per atom
DOS at the Fermi energy = 3.4 states/eV/cell
size of the total moment = 0.00 μB per formula unit

Cell: 2.722 2.722 6.981 Å, 90.00 90.00 120.00°
Fractional coordinates of all 3 atoms:
Pt  0.333  0.667  0.332
Li  0.000  0.000  0.016
Mo  0.667  0.333  0.652



## LiMo2Pt (GGA-PBEsol)

Data for crystalline LiMo2Pt at its relaxed geometry.

ΔH_f (0 K) = 0.09 eV per atom
DOS at the Fermi energy = 3.4 states/eV/cell
size of the total moment = 0.00 μB per formula unit

Cell: 4.320 4.320 4.320 Å, 60.00 60.00 60.00°
Fractional coordinates of all 4 atoms:
Pt  0.250  0.250  0.250
Li  0.500  0.500  0.500
Mo  0.750  0.750  0.750
Mo  0.000  0.000  0.000